[1]
3
Lattice="0.000 3.412 3.412 3.412 0.000 3.412 3.412 3.412 0.000" Properties=species:S:1:pos:R:3 comment="LaAlHg, relaxed, DFT PBEsol" space_group="F-43m, No. 216" dos_at_fermi_per_ev_fu=0.5 formation_energy_ev_per_atom=-0.291 pbc="T T T"
La 0.000 0.000 0.000
Al 5.119 5.119 5.119
Hg 3.412 3.412 3.412

[2]
24
Lattice="5.784 0.000 0.000 -2.892 5.009 0.000 0.000 0.000 11.814" Properties=species:S:1:pos:R:3 comment="Ba5Ta4O15, relaxed, DFT PBEsol" space_group="P-3m1, No. 164" dos_at_fermi_per_ev_fu=0.0 e_form_raw_ev_per_atom=-3.042 pbc="T T T"
Ba 0.000 0.000 0.000
Ba 0.000 3.339 5.100
Ba 0.000 3.339 9.312
Ba 2.892 1.670 2.502
Ba 2.892 1.670 6.714
Ta 0.000 0.000 3.708
Ta 0.000 0.000 8.106
Ta 0.000 3.339 1.226
Ta 2.892 1.670 10.588
O -1.446 2.504 0.000
O 0.000 1.647 7.244
O -1.466 4.186 7.244
O 0.000 1.685 2.258
O -1.433 4.167 2.258
O 1.426 0.823 4.570
O 1.459 0.842 9.556
O 2.892 0.000 0.000
O 1.446 2.504 0.000
O 1.433 4.167 2.258
O 1.466 4.186 7.244
O 4.325 0.842 9.556
O 2.892 3.324 9.556
O 4.358 0.823 4.570
O 2.892 3.362 4.570

[3]
3
Lattice="-1.742 1.742 5.495 1.742 -1.742 5.495 1.742 1.742 -5.495" Properties=species:S:1:pos:R:3 comment="AlPBr, relaxed, DFT PBEsol" space_group="I4mm, No. 107" dos_at_fermi_per_ev_fu=2.3 e_form_raw_ev_per_atom=-0.096 pbc="T T T"
Al 0.000 0.000 0.000
P 0.000 0.000 5.915
Br 0.000 0.000 8.541

[4]
3
Lattice="-1.390 2.334 6.209 1.390 -2.334 6.209 1.390 2.334 -6.209" Properties=species:S:1:pos:R:3 comment="KInW, relaxed, DFT PBEsol" space_group="Imm2, No. 44" dos_at_fermi_per_ev_fu=3.3 formation_energy_ev_per_atom=1.074 pbc="T T T"
K 0.000 0.000 0.000
In 0.000 0.000 3.454
W 0.000 0.000 8.953

[5]
12
Lattice="5.441 0.000 0.000 -2.720 4.712 0.000 0.000 0.000 7.738" Properties=species:S:1:pos:R:3 comment="CeBPt2, relaxed, DFT PBEsol" space_group="P6_422, No. 181" dos_at_fermi_per_ev_fu=5.5 formation_energy_ev_per_atom=-0.824 pbc="T T T"
Ce -1.360 2.356 2.579
Ce 2.720 0.000 0.000
Ce 1.360 2.356 5.159
B -1.360 2.356 6.448
B 2.720 0.000 3.869
B 1.360 2.356 1.290
Pt 0.000 1.401 0.000
Pt -1.507 4.012 5.159
Pt 1.213 0.700 2.579
Pt 1.507 4.012 2.579
Pt 4.228 0.700 5.159
Pt 2.720 3.311 0.000

[6]
4
Lattice="3.037 -3.584 0.000 3.037 3.584 0.000 0.000 0.000 4.276" Properties=species:S:1:pos:R:3 comment="LaOsBr2, relaxed, DFT PBEsol" space_group="Cmmm, No. 65" dos_at_fermi_per_ev_fu=1.7 e_form_raw_ev_per_atom=-0.079 pbc="T T T"
La 0.000 0.000 0.000
Os 3.037 0.000 0.000
Br 3.037 1.489 2.138
Br 3.037 -1.489 2.138

[7]
5
Lattice="1.186 0.685 9.347 -1.186 0.685 9.347 0.000 -1.370 9.347" Properties=species:S:1:pos:R:3 comment="Be3Fe2, relaxed, DFT PBEsol" space_group="R-3m, No. 166" dos_at_fermi_per_ev_fu=2.7 formation_energy_ev_per_atom=0.013 pbc="T T T"
Be 0.000 0.000 0.000
Be 0.000 0.000 5.618
Be 0.000 0.000 22.424
Fe 0.000 0.000 11.222
Fe 0.000 0.000 16.820

[8]
4
Lattice="1.390 0.803 9.183 -1.390 0.803 9.183 0.000 -1.605 9.183" Properties=species:S:1:pos:R:3 comment="Mg2CoMo, relaxed, DFT PBEsol" space_group="R-3m, No. 166" dos_at_fermi_per_ev_fu=4.3 formation_energy_ev_per_atom=0.437 pbc="T T T"
Mg 0.000 0.000 6.711
Mg 0.000 0.000 20.837
Co 0.000 0.000 13.774
Mo 0.000 0.000 0.000